[1]
This record from the Alexandria database describes a relaxed structure of CsAgHg2Pt. The functional is PBE.

```
data_CsAgHg2Pt
_cell_length_a 5.3942
_cell_length_b 5.3942
_cell_length_c 5.4056
_cell_angle_alpha 90.00
_cell_angle_beta 90.00
_cell_angle_gamma 90.00
_symmetry_space_group_name_H-M 'P 1'
_symmetry_Int_Tables_number 1
_symmetry_space_group_name_Hall 'P 1'
loop_
_atom_site_label
_atom_site_fract_x
_atom_site_fract_y
_atom_site_fract_z
Cs1 0.0000 0.0000 0.0000
Ag1 0.5000 0.5000 0.0000
Hg1 0.0000 0.5000 0.5000
Hg2 0.5000 0.0000 0.5000
Pt1 0.5000 0.5000 0.5000
```

Formation energy = -0.134 eV/atom



[2]
This record from the Alexandria database describes a relaxed structure of NaPmNp2S4. The functional is PBE.

```
data_NaPmNp2S4
_cell_length_a 6.9008
_cell_length_b 3.9749
_cell_length_c 6.9092
_cell_angle_alpha 90.00
_cell_angle_beta 109.40
_cell_angle_gamma 90.00
_symmetry_space_group_name_H-M 'P 1'
_symmetry_Int_Tables_number 1
_symmetry_space_group_name_Hall 'P 1'
loop_
_atom_site_label
_atom_site_fract_x
_atom_site_fract_y
_atom_site_fract_z
Na1 0.0000 0.0000 0.0000
Pm1 0.5000 0.5000 0.0000
Np1 0.0000 0.5000 0.5000
Np2 0.5000 0.0000 0.5000
S1 0.2456 0.0000 0.7405
S2 0.2546 0.5000 0.2613
S3 0.7454 0.5000 0.7387
S4 0.7544 0.0000 0.2595
```

Formation energy from raw total energies = -1180 kJ/mol of formula units



[3]
This record from the Alexandria database describes a relaxed structure of Ti5Ni2Pd. The functional is PBE.

```
data_Ti5Ni2Pd
_cell_length_a 7.6616
_cell_length_b 7.6616
_cell_length_c 7.6616
_cell_angle_alpha 131.40
_cell_angle_beta 131.40
_cell_angle_gamma 71.18
_symmetry_space_group_name_H-M 'P 1'
_symmetry_Int_Tables_number 1
_symmetry_space_group_name_Hall 'P 1'
loop_
_atom_site_label
_atom_site_fract_x
_atom_site_fract_y
_atom_site_fract_z
Ti1 0.0000 0.0000 0.0000
Ti2 0.0086 0.5086 0.8187
Ti3 0.1899 0.0086 0.5000
Ti4 0.3101 0.8101 0.8187
Ti5 0.4914 0.3101 0.5000
Ti6 0.5000 0.5000 0.0000
Ti7 0.5086 0.6899 0.5000
Ti8 0.6899 0.1899 0.1813
Ti9 0.8101 0.9914 0.5000
Ti10 0.9914 0.4914 0.1813
Ni1 0.1340 0.3660 0.5000
Ni2 0.3660 0.8660 0.2319
Ni3 0.6340 0.1340 0.7681
Ni4 0.8660 0.6340 0.5000
Pd1 0.2500 0.2500 0.0000
Pd2 0.7500 0.7500 0.0000
```

Formation energy = -0.267 eV/atom



[4]
This record from the Alexandria database describes a relaxed structure of BaTa3I. The functional is PBE.

```
data_BaTa3I
_cell_length_a 5.2212
_cell_length_b 5.2212
_cell_length_c 5.2212
_cell_angle_alpha 90.00
_cell_angle_beta 90.00
_cell_angle_gamma 90.00
_symmetry_space_group_name_H-M 'P 1'
_symmetry_Int_Tables_number 1
_symmetry_space_group_name_Hall 'P 1'
loop_
_atom_site_label
_atom_site_fract_x
_atom_site_fract_y
_atom_site_fract_z
Ba1 0.0000 0.0000 0.0000
Ta1 0.0000 0.0000 0.5000
Ta2 0.0000 0.5000 0.0000
Ta3 0.5000 0.0000 0.0000
I1 0.5000 0.5000 0.5000
```

Distance to the lowest polymorph of the same formula = 1202.7 meV/atom
Formation energy from raw total energies = 1469 kJ/mol of formula units